Entry 1:
Entry from the Alexandria database: a geometry-optimized CdFe2Pt structure (PBE).

**Magnetic moment**: 5.91 μB/f.u.
**E_form**: 0.049 eV per atom
**Symmetry**: Pmmm (47)

a b c (Å): 2.762 3.877 5.656
angles (deg): 90.00 90.00 90.00
Fractional coordinates of all 4 atoms:
Cd1 0.500 0.500 0.750
Fe1 0.000 0.000 0.026
Fe2 0.000 0.000 0.474
Pt1 0.500 0.500 0.250



Entry 2:
Entry from the Alexandria database: a geometry-optimized Sr2LiSi3 structure (PBE).

**Magnetic moment**: 0.00 μB/f.u.
**E_tot**: -96.82 eV per cell
**Symmetry**: Fddd (70)

a b c (Å): 11.747 10.058 8.563
angles (deg): 77.77 56.80 45.43
Fractional coordinates of all 24 atoms:
Li1 0.458 0.292 0.458
Li2 0.792 0.958 0.792
Li3 0.542 0.708 0.542
Li4 0.208 0.042 0.208
Si1 0.286 0.464 0.286
Si2 0.964 0.786 0.964
Si3 0.714 0.536 0.714
Si4 0.036 0.214 0.036
Si5 0.443 0.301 0.967
Si6 0.801 0.943 0.288
Si7 0.967 0.788 0.443
Si8 0.288 0.467 0.801
Si9 0.557 0.699 0.033
Si10 0.199 0.057 0.712
Si11 0.033 0.212 0.557
Si12 0.712 0.533 0.199
Sr1 0.001 0.501 0.249
Sr2 0.249 0.749 0.001
Sr3 0.999 0.499 0.751
Sr4 0.751 0.251 0.999
Sr5 0.501 0.001 0.749
Sr6 0.749 0.249 0.501
Sr7 0.499 0.999 0.251
Sr8 0.251 0.751 0.499



Entry 3:
Entry from the Alexandria database: a geometry-optimized Pm4Ge structure (PBE).

**Energy above the most stable polymorph in this dataset**: 207 meV per atom
**Magnetic moment**: 0.30 μB/f.u.
**E_form**: -0.024 eV per atom
**Symmetry**: Pm-3m (221)

a b c (Å): 5.677 5.677 5.677
angles (deg): 90.00 90.00 90.00
Fractional coordinates of all 5 atoms:
Ge1 0.500 0.500 0.500
Pm1 0.000 0.000 0.000
Pm2 0.500 0.000 0.500
Pm3 0.000 0.500 0.500
Pm4 0.500 0.500 0.000